Entry 1:
{"formula": "Rb2BaMnPb", "functional": "PBE", "state": "optimized geometry", "energy_ev_per_cell": -12.54, "n_ef_per_ev_fu": 9.30, "ef_mev_per_atom": 840, "sg": "P4/mmm (123)", "lattice": [[7.0851, 0.0000, 0.0000], [0.0000, 5.1370, 0.0000], [0.0000, 0.0000, 7.0851]], "species": ["Pb", "Mn", "Ba", "Rb", "Rb"], "frac_coords": [[0.0000, 0.0000, 0.0000], [0.0000, 0.5000, 0.0000], [0.5000, 0.5000, 0.5000], [0.0000, 0.0000, 0.5000], [0.5000, 0.0000, 0.0000]]}

=====

Entry 2:
{"formula": "NaAgBiCl5", "functional": "PBE", "state": "optimized geometry", "energy_ev_per_cell": -51.32, "n_ef_per_ev_fu": 0.00, "raw_formation_energy_ev_per_atom": -1.0470, "sg": "C2/c (15)", "lattice": [[7.6825, -0.7193, -0.0389], [-2.9306, 7.1379, -0.0389], [-1.9827, -2.6781, 9.3617]], "species": ["Na", "Na", "Ag", "Ag", "Bi", "Bi", "Cl", "Cl", "Cl", "Cl", "Cl", "Cl", "Cl", "Cl", "Cl", "Cl"], "frac_coords": [[0.4256, 0.5744, 0.2500], [0.5744, 0.4256, 0.7500], [0.7134, 0.2866, 0.2500], [0.2866, 0.7134, 0.7500], [0.0000, 0.0000, 0.5000], [0.0000, 0.0000, 0.0000], [0.0901, 0.9099, 0.2500], [0.9099, 0.0901, 0.7500], [0.0073, 0.3438, 0.1377], [0.9927, 0.6562, 0.8623], [0.6562, 0.9927, 0.3623], [0.3438, 0.0073, 0.6377], [0.7462, 0.5863, 0.4488], [0.2538, 0.4137, 0.5512], [0.4137, 0.2538, 0.0512], [0.5863, 0.7462, 0.9488]]}

=====

Entry 3:
{"formula": "Pm12Ge3O5", "functional": "PBE", "state": "optimized geometry", "energy_ev_per_cell": -512.80, "n_ef_per_ev_fu": 17.67, "raw_formation_energy_ev_per_atom": -1.6275, "sg": "Ia-3d (230)", "lattice": [[-12.9493, -0.4423, -4.1814], [2.0526, -9.5982, 9.4353], [2.6301, 12.2461, 5.3367]], "species": ["Ge", "Ge", "Ge", "Ge", "Ge", "Ge", "Ge", "Ge", "Ge", "Ge", "Ge", "Ge", "O", "O", "O", "O", "O", "O", "O", "O", "O", "O", "O", "O", "O", "O", "O", "O", "O", "O", "O", "O", "Pm", "Pm", "Pm", "Pm", "Pm", "Pm", "Pm", "Pm", "Pm", "Pm", "Pm", "Pm", "Pm", "Pm", "Pm", "Pm", "Pm", "Pm", "Pm", "Pm", "Pm", "Pm", "Pm", "Pm", "Pm", "Pm", "Pm", "Pm", "Pm", "Pm", "Pm", "Pm", "Pm", "Pm", "Pm", "Pm", "Pm", "Pm", "Pm", "Pm", "Pm", "Pm", "Pm", "Pm", "Pm", "Pm", "Pm", "Pm"], "frac_coords": [[0.7500, 0.3750, 0.1250], [0.8750, 0.7500, 0.1250], [0.3750, 0.7500, 0.6250], [0.2500, 0.1250, 0.3750], [0.8750, 0.1250, 0.2500], [0.3750, 0.6250, 0.2500], [0.6250, 0.3750, 0.7500], [0.1250, 0.8750, 0.7500], [0.7500, 0.8750, 0.6250], [0.6250, 0.2500, 0.3750], [0.1250, 0.2500, 0.8750], [0.2500, 0.6250, 0.8750], [0.1250, 0.3750, 0.2500], [0.0000, 0.5000, 0.0000], [0.0000, 0.0000, 0.0000], [0.3750, 0.2500, 0.1250], [0.5000, 0.0000, 0.5000], [0.5000, 0.5000, 0.0000], [0.1250, 0.7500, 0.3750], [0.7500, 0.1250, 0.8750], [0.7500, 0.6250, 0.3750], [0.3750, 0.1250, 0.7500], [0.6250, 0.8750, 0.2500], [0.5000, 0.5000, 0.5000], [0.5000, 0.0000, 0.0000], [0.0000, 0.0000, 0.5000], [0.2500, 0.3750, 0.6250], [0.2500, 0.8750, 0.1250], [0.0000, 0.5000, 0.5000], [0.8750, 0.2500, 0.6250], [0.6250, 0.7500, 0.8750], [0.8750, 0.6250, 0.7500], [0.7026, 0.1137, 0.0173], [0.3148, 0.5173, 0.4036], [0.9827, 0.3863, 0.2974], [0.5173, 0.2026, 0.1137], [0.5889, 0.7026, 0.6852], [0.9827, 0.5964, 0.1852], [0.3148, 0.7974, 0.4111], [0.0964, 0.9111, 0.1137], [0.5964, 0.9827, 0.6852], [0.7026, 0.5889, 0.1852], [0.7974, 0.4827, 0.3863], [0.8148, 0.9036, 0.0173], [0.1137, 0.7026, 0.5173], [0.3863, 0.4036, 0.0889], [0.0889, 0.9036, 0.3863], [0.4111, 0.1137, 0.5964], [0.0889, 0.1852, 0.2026], [0.4827, 0.6852, 0.0964], [0.8148, 0.9111, 0.2974], [0.1137, 0.4111, 0.0964], [0.3863, 0.9827, 0.7974], [0.5964, 0.6137, 0.4111], [0.9036, 0.8148, 0.5173], [0.7974, 0.3148, 0.9111], [0.4036, 0.3863, 0.5889], [0.0964, 0.1852, 0.4827], [0.2026, 0.6852, 0.0889], [0.1852, 0.0889, 0.7026], [0.6137, 0.0173, 0.2026], [0.8863, 0.5889, 0.9036], [0.5173, 0.3148, 0.9036], [0.5889, 0.8863, 0.4036], [0.9111, 0.8148, 0.7974], [0.9111, 0.0964, 0.6137], [0.8863, 0.2974, 0.4827], [0.1852, 0.0964, 0.9827], [0.6137, 0.5964, 0.9111], [0.4036, 0.0173, 0.3148], [0.2974, 0.4111, 0.8148], [0.2026, 0.5173, 0.6137], [0.9036, 0.0889, 0.8863], [0.6852, 0.2026, 0.5889], [0.4827, 0.7974, 0.8863], [0.0173, 0.4036, 0.8148], [0.4111, 0.2974, 0.3148], [0.0173, 0.6137, 0.7026], [0.6852, 0.4827, 0.5964], [0.2974, 0.8863, 0.9827]]}